Entry 1:
Computed, not measured: a crystal of Ca5Si2C2O13 relaxed with PBEsol at the SCAN level of DFT.

a b c (Å): 7.5328 10.2505 15.0643
angles (deg): 90.00 105.06 90.00
Atoms (fractional coordinates):
Ca  0.0460  0.0883  0.1235
Ca  0.0460  0.4117  0.6235
Ca  0.0883  0.7088  0.1750
Ca  0.0883  0.7912  0.6750
Ca  0.2516  0.5046  0.9971
Ca  0.2516  0.9954  0.4971
Ca  0.3917  0.2077  0.3180
Ca  0.3917  0.2923  0.8180
Ca  0.4373  0.5773  0.3602
Ca  0.4373  0.9227  0.8602
Ca  0.5627  0.0773  0.1398
Ca  0.5627  0.4227  0.6398
Ca  0.6083  0.7077  0.1820
Ca  0.6083  0.7923  0.6820
Ca  0.7484  0.0046  0.5029
Ca  0.7484  0.4954  0.0029
Ca  0.9117  0.2088  0.3250
Ca  0.9117  0.2912  0.8250
Ca  0.9540  0.5883  0.3765
Ca  0.9540  0.9117  0.8765
Si  0.1356  0.0803  0.7018
Si  0.1356  0.4197  0.2018
Si  0.4291  0.5861  0.7959
Si  0.4291  0.9139  0.2959
Si  0.5709  0.0861  0.7041
Si  0.5709  0.4139  0.2041
Si  0.8644  0.5803  0.7982
Si  0.8644  0.9197  0.2982
C  0.1839  0.1968  0.9778
C  0.1839  0.3032  0.4778
C  0.3405  0.6908  0.5312
C  0.3405  0.8092  0.0312
C  0.6595  0.1908  0.9688
C  0.6595  0.3092  0.4688
C  0.8161  0.6968  0.5222
C  0.8161  0.8032  0.0222
O  0.0407  0.1249  0.9435
O  0.0407  0.3751  0.4435
O  0.0536  0.0230  0.5988
O  0.0536  0.4770  0.0988
O  0.0849  0.2282  0.7252
O  0.0849  0.2718  0.2252
O  0.1138  0.5307  0.2757
O  0.1138  0.9693  0.7757
O  0.2159  0.2046  0.4288
O  0.2159  0.2954  0.9288
O  0.2489  0.6615  0.4497
O  0.2489  0.8385  0.9497
O  0.2835  0.1772  0.0593
O  0.2835  0.3228  0.5593
O  0.2986  0.7060  0.0727
O  0.2986  0.7940  0.5727
O  0.3218  0.0244  0.2224
O  0.3218  0.4756  0.7224
O  0.3649  0.0849  0.7261
O  0.3649  0.4151  0.2261
O  0.3669  0.7368  0.7708
O  0.3669  0.7632  0.2708
O  0.4462  0.5299  0.8987
O  0.4462  0.9701  0.3987
O  0.4814  0.6231  0.5735
O  0.4814  0.8769  0.0735
O  0.5186  0.1231  0.9265
O  0.5186  0.3769  0.4265
O  0.5538  0.0299  0.6013
O  0.5538  0.4701  0.1013
O  0.6331  0.2368  0.7292
O  0.6331  0.2632  0.2292
O  0.6351  0.5849  0.7739
O  0.6351  0.9151  0.2739
O  0.6782  0.5244  0.2776
O  0.6782  0.9756  0.7776
O  0.7014  0.2060  0.4273
O  0.7014  0.2940  0.9273
O  0.7165  0.6772  0.4407
O  0.7165  0.8228  0.9407
O  0.7511  0.1615  0.0503
O  0.7511  0.3385  0.5503
O  0.7841  0.7046  0.0712
O  0.7841  0.7954  0.5712
O  0.8862  0.0307  0.2243
O  0.8862  0.4693  0.7243
O  0.9151  0.7282  0.7748
O  0.9151  0.7718  0.2748
O  0.9464  0.5230  0.9012
O  0.9464  0.9770  0.4012
O  0.9593  0.6249  0.5565
O  0.9593  0.8751  0.0565

Summary:
Its mass density is 2.89 Mg/m³. The total moment is 0.000 μB/atom. The uncorrected formation energy is -282.5 kJ/mol of atoms.

Entry 2:
Computed, not measured: a crystal of HoErTl2 relaxed with PBEsol at the SCAN level of DFT.

a b c (Å): 5.2340 5.2340 5.2340
angles (deg): 60.00 60.00 60.00
Atoms (fractional coordinates):
Ho  0.0000  0.0000  0.0000
Er  0.5000  0.5000  0.5000
Tl  0.2500  0.2500  0.2500
Tl  0.7500  0.7500  0.7500

Summary:
Its mass density is 12.14 Mg/m³. The total moment is 0.003 μB/atom. The value obtained for the formation energy is -0.51 eV/atom.

Entry 3:
Computed, not measured: a crystal of AcCdAg2 relaxed with PBEsol at the SCAN level of DFT.

a b c (Å): 5.1371 5.1371 5.1371
angles (deg): 60.00 60.00 60.00
Atoms (fractional coordinates):
Ac  0.0000  0.0000  0.0000
Cd  0.5000  0.5000  0.5000
Ag  0.2500  0.2500  0.2500
Ag  0.7500  0.7500  0.7500

Summary:
Its mass density is 9.62 Mg/m³. The total moment is 0.001 μB/atom. The value obtained for the formation energy is -0.22 eV/atom.

Entry 4:
Computed, not measured: a crystal of Na2PPt2 relaxed with PBEsol at the SCAN level of DFT.

a b c (Å): 6.0991 6.0991 4.9042
angles (deg): 90.00 90.00 90.00
Atoms (fractional coordinates):
Na  0.1677  0.3323  0.0000
Na  0.3323  0.8323  0.0000
Na  0.6677  0.1677  0.0000
Na  0.8323  0.6677  0.0000
P  0.0000  0.0000  0.5000
P  0.5000  0.5000  0.5000
Pt  0.1561  0.6561  0.5000
Pt  0.3439  0.1561  0.5000
Pt  0.6561  0.8439  0.5000
Pt  0.8439  0.3439  0.5000

Summary:
Its mass density is 8.50 Mg/m³. The total moment is 0.000 μB/atom. The value obtained for the formation energy is -0.47 eV/atom.

Entry 5:
Computed, not measured: a crystal of ScTiAg2Rh relaxed with PBEsol at the SCAN level of DFT.

a b c (Å): 4.8728 4.8728 4.4649
angles (deg): 90.00 90.00 90.00
Atoms (fractional coordinates):
Sc  0.0000  0.0000  0.0000
Ti  0.5000  0.5000  0.5000
Ag  0.0000  0.5000  0.0000
Ag  0.5000  0.0000  0.0000
Rh  0.0000  0.0000  0.5000

Summary:
Its mass density is 6.44 Mg/m³. The total moment is 0.433 μB/atom. The value obtained for the formation energy is 0.81 eV/atom.

Entry 6:
Computed, not measured: a crystal of RbNaSi2 relaxed with PBEsol at the SCAN level of DFT.

a b c (Å): 5.2346 5.2346 5.2346
angles (deg): 60.00 60.00 60.00
Atoms (fractional coordinates):
Rb  0.0000  0.0000  0.0000
Na  0.5000  0.5000  0.5000
Si  0.2500  0.2500  0.2500
Si  0.7500  0.7500  0.7500

Summary:
Its mass density is 2.70 Mg/m³. The total moment is 0.000 μB/atom. The uncorrected formation energy is 79.0 kJ/mol of atoms.

Entry 7:
Computed, not measured: a crystal of La2TlTe relaxed with PBEsol at the SCAN level of DFT.

a b c (Å): 6.4422 6.4422 6.4422
angles (deg): 138.12 138.12 60.72
Atoms (fractional coordinates):
La  0.0000  0.0000  0.0000
La  0.7500  0.2500  0.5000
Tl  0.2500  0.7500  0.5000
Te  0.5000  0.5000  0.0000

Summary:
Its mass density is 8.59 Mg/m³. The calculation puts the energy above the most stable polymorph in this dataset at 273 meV/atom. The total moment is 0.000 μB/atom. The uncorrected formation energy is -88.5 kJ/mol of atoms.

Entry 8:
Computed, not measured: a crystal of NiMo2Rh relaxed with PBEsol at the SCAN level of DFT.

a b c (Å): 3.1447 3.1447 5.5544
angles (deg): 90.00 90.00 90.00
Atoms (fractional coordinates):
Ni  0.0000  0.0000  0.0000
Mo  0.0000  0.0000  0.5044
Mo  0.5000  0.5000  0.7818
Rh  0.5000  0.5000  0.2473

Summary:
Its mass density is 10.69 Mg/m³. The calculation puts the energy above the most stable polymorph in this dataset at 133 meV/atom. The total moment is 0.000 μB/atom. The value obtained for the formation energy is 0.05 eV/atom.

Entry 9:
Computed, not measured: a crystal of HfSnIr relaxed with PBEsol at the SCAN level of DFT.

a b c (Å): 7.2645 7.2645 3.6502
angles (deg): 90.00 90.00 120.00
Atoms (fractional coordinates):
Hf  0.0000  0.6055  0.0000
Hf  0.3945  0.3945  0.0000
Hf  0.6055  0.0000  0.0000
Sn  0.0000  0.2679  0.5000
Sn  0.2679  0.0000  0.5000
Sn  0.7321  0.7321  0.5000
Ir  0.0000  0.0000  0.0000
Ir  0.3333  0.6667  0.5000
Ir  0.6667  0.3333  0.5000

Summary:
Its mass density is 14.61 Mg/m³. The total moment is 0.000 μB/atom. The value obtained for the formation energy is -0.84 eV/atom.

Entry 10:
Computed, not measured: a crystal of TiCu2I relaxed with PBEsol at the SCAN level of DFT.

a b c (Å): 4.5841 4.5841 4.5841
angles (deg): 60.00 60.00 60.00
Atoms (fractional coordinates):
Ti  0.0000  0.0000  0.0000
Cu  0.2500  0.2500  0.2500
Cu  0.7500  0.7500  0.7500
I  0.5000  0.5000  0.5000

Summary:
Its mass density is 7.36 Mg/m³. The total moment is 0.487 μB/atom. The uncorrected formation energy is 72.9 kJ/mol of atoms.

Entry 11:
Computed, not measured: a crystal of La2PtAu relaxed with PBEsol at the SCAN level of DFT.

a b c (Å): 7.4894 7.4894 7.4894
angles (deg): 32.74 32.74 32.74
Atoms (fractional coordinates):
La  0.2444  0.2444  0.2444
La  0.7556  0.7556  0.7556
Pt  0.5000  0.5000  0.5000
Au  0.0000  0.0000  0.0000

Summary:
Its mass density is 10.18 Mg/m³. The total moment is 0.000 μB/atom. The value obtained for the formation energy is -1.20 eV/atom.

Entry 12:
Computed, not measured: a crystal of FeBi2OsRu relaxed with PBEsol at the SCAN level of DFT.

a b c (Å): 4.8312 4.8312 4.3682
angles (deg): 90.00 90.00 90.00
Atoms (fractional coordinates):
Fe  0.0000  0.0000  0.0000
Bi  0.0000  0.5000  0.0000
Bi  0.5000  0.0000  0.0000
Os  0.0000  0.0000  0.5000
Ru  0.5000  0.5000  0.5000

Summary:
Its mass density is 12.46 Mg/m³. The total moment is 0.000 μB/atom. The value obtained for the formation energy is 1.70 eV/atom.

Entry 13:
Computed, not measured: a crystal of ScHgSbTe2 relaxed with PBEsol at the SCAN level of DFT.

a b c (Å): 5.4156 5.4156 5.4914
angles (deg): 90.00 90.00 90.00
Atoms (fractional coordinates):
Sc  0.0000  0.0000  0.0000
Hg  0.5000  0.5000  0.5000
Sb  0.0000  0.0000  0.5000
Te  0.0000  0.5000  0.0000
Te  0.5000  0.0000  0.0000

Summary:
Its mass density is 6.42 Mg/m³. The total moment is 0.000 μB/atom. The uncorrected formation energy is -5.8 kJ/mol of atoms.

Entry 14:
Computed, not measured: a crystal of Tm2Fe15Si2 relaxed with PBEsol at the SCAN level of DFT.

a b c (Å): 8.0908 8.0908 8.1593
angles (deg): 90.00 90.00 120.00
Atoms (fractional coordinates):
Tm  0.0000  0.0000  0.2500
Tm  0.0000  0.0000  0.7500
Tm  0.3333  0.6667  0.2500
Tm  0.6667  0.3333  0.7500
Fe  0.0000  0.5000  0.0000
Fe  0.0000  0.5000  0.5000
Fe  0.0392  0.3695  0.7500
Fe  0.0392  0.6698  0.7500
Fe  0.1666  0.3331  0.0124
Fe  0.1666  0.3331  0.4876
Fe  0.1666  0.8334  0.0124
Fe  0.1666  0.8334  0.4876
Fe  0.3302  0.3695  0.7500
Fe  0.3302  0.9608  0.7500
Fe  0.3331  0.1666  0.5124
Fe  0.3331  0.1666  0.9876
Fe  0.3695  0.0392  0.2500
Fe  0.3695  0.3302  0.2500
Fe  0.5000  0.0000  0.0000
Fe  0.5000  0.0000  0.5000
Fe  0.5000  0.5000  0.0000
Fe  0.5000  0.5000  0.5000
Fe  0.6305  0.6698  0.7500
Fe  0.6305  0.9608  0.7500
Fe  0.6669  0.8334  0.0124
Fe  0.6669  0.8334  0.4876
Fe  0.6698  0.0392  0.2500
Fe  0.6698  0.6305  0.2500
Fe  0.8334  0.1666  0.5124
Fe  0.8334  0.1666  0.9876
Fe  0.8334  0.6669  0.5124
Fe  0.8334  0.6669  0.9876
Fe  0.9608  0.3302  0.2500
Fe  0.9608  0.6305  0.2500
Si  0.3333  0.6667  0.6012
Si  0.3333  0.6667  0.8988
Si  0.6667  0.3333  0.1012
Si  0.6667  0.3333  0.3988

Summary:
Its mass density is 8.84 Mg/m³. The total moment is 1.745 μB/atom. The uncorrected formation energy is -4.5 kJ/mol of atoms.

Entry 15:
Computed, not measured: a crystal of TlSnB2I relaxed with PBEsol at the SCAN level of DFT.

a b c (Å): 4.5303 4.5303 6.4212
angles (deg): 90.00 90.00 90.00
Atoms (fractional coordinates):
Tl  0.0000  0.0000  0.0000
Sn  0.0000  0.0000  0.5000
B  0.0000  0.5000  0.5000
B  0.5000  0.0000  0.5000
I  0.5000  0.5000  0.0000

Summary:
Its mass density is 5.94 Mg/m³. The total moment is 0.000 μB/atom. The uncorrected formation energy is 129.0 kJ/mol of atoms.

Entry 16:
Computed, not measured: a crystal of Si2TcSnRu relaxed with PBEsol at the SCAN level of DFT.

a b c (Å): 4.4909 4.4909 4.7790
angles (deg): 90.00 90.00 90.00
Atoms (fractional coordinates):
Si  0.0000  0.5000  0.0000
Si  0.5000  0.0000  0.0000
Tc  0.0000  0.0000  0.5000
Sn  0.5000  0.5000  0.5000
Ru  0.0000  0.0000  0.0000

Summary:
Its mass density is 6.44 Mg/m³. The total moment is 0.322 μB/atom. The uncorrected formation energy is 76.7 kJ/mol of atoms.

Entry 17:
Computed, not measured: a crystal of KSrMg2 relaxed with PBEsol at the SCAN level of DFT.

a b c (Å): 5.9071 5.9071 5.9071
angles (deg): 123.05 123.05 84.79
Atoms (fractional coordinates):
K  0.0000  0.0000  0.0000
Sr  0.7500  0.2500  0.5000
Mg  0.2500  0.7500  0.5000
Mg  0.5000  0.5000  0.0000

Summary:
Its mass density is 2.10 Mg/m³. The calculation puts the energy above the most stable polymorph in this dataset at 0 meV/atom. The total moment is 0.063 μB/atom. The value obtained for the formation energy is 0.17 eV/atom.

Entry 18:
Computed, not measured: a crystal of InAs4Pb relaxed with PBEsol at the SCAN level of DFT.

a b c (Å): 5.7183 5.7183 5.7183
angles (deg): 60.00 60.00 60.00
Atoms (fractional coordinates):
In  0.0000  0.0000  0.0000
As  0.1150  0.6283  0.6283
As  0.6283  0.1150  0.6283
As  0.6283  0.6283  0.1150
As  0.6283  0.6283  0.6283
Pb  0.2500  0.2500  0.2500

Summary:
Its mass density is 7.81 Mg/m³. The total moment is 0.000 μB/atom. The value obtained for the formation energy is 0.30 eV/atom.

Entry 19:
Computed, not measured: a crystal of ZrSi2Tc relaxed with PBEsol at the SCAN level of DFT.

a b c (Å): 3.1780 3.1780 5.9429
angles (deg): 90.00 90.00 90.00
Atoms (fractional coordinates):
Zr  0.0000  0.0000  0.0000
Si  0.0000  0.0000  0.5068
Si  0.5000  0.5000  0.2761
Tc  0.5000  0.5000  0.6927

Summary:
Its mass density is 6.79 Mg/m³. The calculation puts the energy above the most stable polymorph in this dataset at 0 meV/atom. The total moment is 0.000 μB/atom. The uncorrected formation energy is -50.7 kJ/mol of atoms.

Entry 20:
Computed, not measured: a crystal of PSe7 relaxed with PBEsol at the SCAN level of DFT.

a b c (Å): 5.9652 5.9652 5.9652
angles (deg): 60.00 60.00 60.00
Atoms (fractional coordinates):
P  0.0000  0.0000  0.0000
Se  0.0000  0.0000  0.5000
Se  0.0000  0.5000  0.0000
Se  0.0000  0.5000  0.5000
Se  0.5000  0.0000  0.0000
Se  0.5000  0.0000  0.5000
Se  0.5000  0.5000  0.0000
Se  0.5000  0.5000  0.5000

Summary:
Its mass density is 6.46 Mg/m³. The total moment is 0.000 μB/atom. The uncorrected formation energy is 91.5 kJ/mol of atoms.

Result set for E: -10.64, -61.52, -46.13, -32.32, -24.55, -10.43, -49.87, -29.88, -57.41, -20.04, -57.59, -54.70, -38.89, -20.87, -30.64, -24.37, -9.97, -31.35, -21.97, -17.92 eV/atom, one per record in the order listed.